Entry 1:
First-principles (PBE) data for an optimized crystal structure of La2CePrS4, as listed in the Alexandria database.

Unit cell a=7.1233 b=4.1020 c=7.1363 alpha=90.00 beta=109.38 gamma=90.00
Last column: nearest neighbours and their distance in Å.
Fractional positions:
La: 0.0000 0.0000 0.0000  6 S 2.92
La: 0.5000 0.5000 0.0000  6 S 2.94
Ce: 0.0000 0.5000 0.5000  6 S 2.87
Pr: 0.5000 0.0000 0.5000  6 S 2.90
S: 0.2449 0.0000 0.7433  2 Ce 2.87, 1 Pr 2.90, 3 La 2.92-2.94
S: 0.2484 0.5000 0.2545  1 Ce 2.87, 2 Pr 2.90, 3 La 2.92-2.94
S: 0.7516 0.5000 0.7455  1 Ce 2.87, 2 Pr 2.90, 3 La 2.92-2.94
S: 0.7551 0.0000 0.2567  2 Ce 2.87, 1 Pr 2.90, 3 La 2.92-2.94

Properties
magnetic moment: 0.8 μB per cell
total energy: -6.736 eV per atom
calculated density: 5.80 g/cm3

***

Entry 2:
First-principles (PBE) data for an optimized crystal structure of LaCe3Pr2S6, as listed in the Alexandria database.

Unit cell a=7.0561 b=7.0561 c=7.0741 alpha=99.59 beta=99.59 gamma=120.02
Last column: nearest neighbours and their distance in Å.
Fractional positions:
La: 0.0000 0.0000 0.0000  6 S 2.92
Ce: 0.1666 0.8334 0.5000  6 S 2.85-2.86
Ce: 0.5000 0.5000 0.5000  6 S 2.85-2.86
Ce: 0.8334 0.1666 0.5000  6 S 2.85-2.86
Pr: 0.3333 0.6667 0.0000  6 S 2.90-2.91
Pr: 0.6667 0.3333 0.0000  6 S 2.90-2.91
S: 0.0856 0.4201 0.2568  3 Ce 2.85-2.86, 2 Pr 2.91, 1 La 2.92
S: 0.2490 0.2490 0.7436  3 Ce 2.85-2.86, 2 Pr 2.90, 1 La 2.92
S: 0.4201 0.0856 0.2568  3 Ce 2.85-2.86, 2 Pr 2.91, 1 La 2.92
S: 0.5799 0.9144 0.7432  3 Ce 2.85-2.86, 2 Pr 2.91, 1 La 2.92
S: 0.7510 0.7510 0.2564  3 Ce 2.85-2.86, 2 Pr 2.90, 1 La 2.92
S: 0.9144 0.5799 0.7432  3 Ce 2.85-2.86, 2 Pr 2.91, 1 La 2.92

Properties
magnetic moment: 2.6 μB per cell
total energy: -6.812 eV per atom
calculated density: 5.97 g/cm3

***

Entry 3:
First-principles (PBE) data for an optimized crystal structure of La3CePr2S6, as listed in the Alexandria database.

Unit cell a=7.1325 b=7.1325 c=7.1402 alpha=99.62 beta=99.62 gamma=120.05
Last column: nearest neighbours and their distance in Å.
Fractional positions:
La: 0.0000 0.0000 0.0000  6 S 2.92-2.95
La: 0.3312 0.6688 0.0000  6 S 2.92-2.94
La: 0.6688 0.3312 0.0000  6 S 2.92-2.94
Ce: 0.5000 0.5000 0.5000  6 S 2.87-2.88
Pr: 0.1668 0.8332 0.5000  6 S 2.90-2.91
Pr: 0.8332 0.1668 0.5000  6 S 2.90-2.91
S: 0.0892 0.4184 0.2552  1 Ce 2.87, 2 Pr 2.90-2.91, 3 La 2.92-2.94
S: 0.2531 0.2531 0.7471  1 Ce 2.88, 2 Pr 2.91, 3 La 2.93-2.95
S: 0.4184 0.0892 0.2552  1 Ce 2.87, 2 Pr 2.90-2.91, 3 La 2.92-2.94
S: 0.5816 0.9108 0.7448  1 Ce 2.87, 2 Pr 2.90-2.91, 3 La 2.92-2.94
S: 0.7469 0.7469 0.2529  1 Ce 2.88, 2 Pr 2.91, 3 La 2.93-2.95
S: 0.9108 0.5816 0.7448  1 Ce 2.87, 2 Pr 2.90-2.91, 3 La 2.92-2.94

Properties
magnetic moment: 0.8 μB per cell
total energy: -6.689 eV per atom
calculated density: 5.78 g/cm3

***

Entry 4:
First-principles (PBE) data for an optimized crystal structure of La3Ce4PrS8, as listed in the Alexandria database.

Unit cell a=8.1807 b=8.1807 c=8.1807 alpha=59.88 beta=59.88 gamma=59.88
Last column: nearest neighbours and their distance in Å.
Fractional positions:
La: 0.0000 0.5000 0.5000  6 S 2.92
La: 0.5000 0.0000 0.5000  6 S 2.92
La: 0.5000 0.5000 0.0000  6 S 2.92
Ce: 0.0000 0.0000 0.5000  6 S 2.86
Ce: 0.0000 0.5000 0.0000  6 S 2.86
Ce: 0.5000 0.0000 0.0000  6 S 2.86
Ce: 0.5000 0.5000 0.5000  6 S 2.87
Pr: 0.0000 0.0000 0.0000  6 S 2.91
S: 0.2462 0.7481 0.7481  3 Ce 2.86-2.87, 1 Pr 2.91, 2 La 2.92
S: 0.2472 0.2472 0.2472  3 Ce 2.86, 3 La 2.92
S: 0.2519 0.2519 0.7538  3 Ce 2.86-2.87, 1 Pr 2.91, 2 La 2.92
S: 0.2519 0.7538 0.2519  3 Ce 2.86-2.87, 1 Pr 2.91, 2 La 2.92
S: 0.7481 0.2462 0.7481  3 Ce 2.86-2.87, 1 Pr 2.91, 2 La 2.92
S: 0.7481 0.7481 0.2462  3 Ce 2.86-2.87, 1 Pr 2.91, 2 La 2.92
S: 0.7528 0.7528 0.7528  3 Ce 2.86, 3 La 2.92
S: 0.7538 0.2519 0.2519  3 Ce 2.86-2.87, 1 Pr 2.91, 2 La 2.92

Properties
magnetic moment: 3.0 μB per cell
total energy: -6.854 eV per atom
calculated density: 5.91 g/cm3

***

Entry 5:
First-principles (PBE) data for an optimized crystal structure of La3CePr3S8, as listed in the Alexandria database.

Unit cell a=8.2728 b=8.2728 c=8.2728 alpha=59.54 beta=59.54 gamma=59.54
Last column: nearest neighbours and their distance in Å.
Fractional positions:
La: 0.0000 0.5000 0.5000  6 S 2.92
La: 0.5000 0.0000 0.5000  6 S 2.92
La: 0.5000 0.5000 0.0000  6 S 2.92
Ce: 0.5000 0.5000 0.5000  6 S 2.86
Pr: 0.0000 0.0000 0.5000  6 S 2.91
Pr: 0.0000 0.5000 0.0000  6 S 2.91
Pr: 0.5000 0.0000 0.0000  6 S 2.91
S: 0.2495 0.2495 0.2495  3 Pr 2.91, 3 La 2.92
S: 0.2534 0.7455 0.7455  1 Ce 2.86, 2 Pr 2.91, 2 La 2.92
S: 0.2545 0.2545 0.7466  1 Ce 2.86, 2 Pr 2.91, 2 La 2.92
S: 0.2545 0.7466 0.2545  1 Ce 2.86, 2 Pr 2.91, 2 La 2.92
S: 0.7455 0.2534 0.7455  1 Ce 2.86, 2 Pr 2.91, 2 La 2.92
S: 0.7455 0.7455 0.2534  1 Ce 2.86, 2 Pr 2.91, 2 La 2.92
S: 0.7466 0.2545 0.2545  1 Ce 2.86, 2 Pr 2.91, 2 La 2.92
S: 0.7505 0.7505 0.7505  3 Pr 2.91, 3 La 2.92

Properties
magnetic moment: 1.5 μB per cell
total energy: -6.616 eV per atom
calculated density: 5.18 g/cm3

***

Entry 6:
First-principles (PBE) data for an optimized crystal structure of La2CePrSb4, as listed in the Alexandria database.

Unit cell a=7.9288 b=4.5792 c=7.9354 alpha=90.00 beta=109.44 gamma=90.00
Last column: nearest neighbours and their distance in Å.
Fractional positions:
La: 0.0000 0.0000 0.0000  6 Sb 3.25
La: 0.5000 0.5000 0.0000  6 Sb 3.27-3.28
Ce: 0.0000 0.5000 0.5000  6 Sb 3.20
Pr: 0.5000 0.0000 0.5000  6 Sb 3.23
Sb: 0.2455 0.0000 0.7437  2 Ce 3.20, 1 Pr 3.23, 3 La 3.25-3.27
Sb: 0.2487 0.5000 0.2545  1 Ce 3.20, 2 Pr 3.23, 3 La 3.25-3.28
Sb: 0.7513 0.5000 0.7455  1 Ce 3.20, 2 Pr 3.23, 3 La 3.25-3.28
Sb: 0.7545 0.0000 0.2563  2 Ce 3.20, 1 Pr 3.23, 3 La 3.25-3.27

Properties
magnetic moment: 0.7 μB per cell
total energy: -5.832 eV per atom
calculated density: 6.39 g/cm3

***

Question: Look up the magnetic moment of the fifth one.
Answer: 1.5 μB per cell

***

Question: Which value of calculated density does entry 5 give?
Answer: 5.18 g/cm3

***

Question: The lowest magnetic moment belongs to which entry?
Answer: La2CePrSb4